[1]
Material: AcPm4Ir
Method: DFT, GGA-PBE
State: relaxed

Calculated values
Theoretical density: 7.89 g/cm3
Crystal system: monoclinic
Total energy: -5.56 eV/atom

Structure (CIF):
```
data_AcPm4Ir
_cell_length_a 17.286
_cell_length_b 6.770
_cell_length_c 7.514
_cell_angle_alpha 90.00
_cell_angle_beta 107.00
_cell_angle_gamma 90.00
_symmetry_space_group_name_H-M 'C 1 2/c 1'
_symmetry_Int_Tables_number 15
loop_
_symmetry_equiv_pos_as_xyz
'x,y,z'
'-x,-y,-z'
'-x,y,-z+1/2'
'x,-y,z+1/2'
'x+1/2,y+1/2,z'
'-x+1/2,-y+1/2,-z'
'-x+1/2,y+1/2,-z+1/2'
'x+1/2,-y+1/2,z+1/2'
loop_
_atom_site_label
_atom_site_fract_x
_atom_site_fract_y
_atom_site_fract_z
Ac1 0.000 0.061 0.250
Pm1 0.099 0.415 0.986
Pm2 0.196 0.093 0.636
Ir1 0.250 0.250 0.000
```



[2]
Material: CsCo3Ni
Method: DFT, GGA-PBE
State: relaxed

Calculated values
Theoretical density: 6.23 g/cm3
Crystal system: cubic
Total energy: -4.30 eV/atom

Structure (CIF):
```
data_CsCo3Ni
_cell_length_a 4.613
_cell_length_b 4.613
_cell_length_c 4.613
_cell_angle_alpha 90.00
_cell_angle_beta 90.00
_cell_angle_gamma 90.00
_symmetry_space_group_name_H-M 'P m -3 m'
_symmetry_Int_Tables_number 221
_symmetry_space_group_name_Hall '-P 4 2 3'
loop_
_atom_site_label
_atom_site_fract_x
_atom_site_fract_y
_atom_site_fract_z
Cs1 0.000 0.000 0.000
Co1 0.000 0.500 0.500
Ni1 0.500 0.500 0.500
```



Look up the total energy of the second one. -4.30 eV/atom



Which value of theoretical density does entry 1 give? 7.89 g/cm3



What is the formula in the second record? CsCo3Ni



Which of these has the highest theoretical density? AcPm4Ir